Density functional theory data (PBE) for a relaxed structure of PmGeRh4.

Summary:
Energy of formation   -445 meV per atom
Symmetry   Pmma
V   204.98 Å³/cell

abc: 3.9346 6.9132 7.5357
angles: 90.00 90.00 90.00
Fractional positions:
Pm1 0.0000 0.6438 0.7500
Pm2 0.0000 0.3562 0.2500
Ge1 0.0000 0.2202 0.7500
Ge2 0.0000 0.7798 0.2500
Rh1 0.0000 0.0000 0.5000
Rh2 0.0000 0.0000 0.0000
Rh3 0.5000 0.9518 0.7500
Rh4 0.5000 0.0482 0.2500
Rh5 0.5000 0.6978 0.0522
Rh6 0.5000 0.3022 0.9478
Rh7 0.5000 0.6978 0.4478
Rh8 0.5000 0.3022 0.5522